VASP calculation (PBE) on a relaxed structure of Ac3As2N.

The structure belongs to space group C2/c (No. 15); the cell edges are 12.200, 7.937 and 7.965 Å and the angles 90.00°, 107.13° and 90.00°. Symmetry generates all atoms from Ac at (0.000, 0.105, 0.250), Ac at (0.152, 0.464, 0.961), As at (0.160, 0.175, 0.666) and N at (0.000, 0.406, 0.250).

Its total energy is -6.216 eV/atom. As for the total moment: 0.00 μB/cell.